No. 1
ZrRhW2 | PBE | relaxed

```
ZrRhW2
1.0
-1.340 -4.079 -1.565
2.479 -3.727 0.920
-1.598 -3.148 2.901
Rh W Zr
1 2 1
direct
0.500 0.500 0.500
0.000 0.000 0.000
0.250 0.250 0.250
0.750 0.750 0.750
```

Properties
For the density, the calculation gives 13825 kg/m3. The formation energy is -0.072 eV per atom. The energy above the most stable polymorph in this dataset is 0.046 eV/atom. Its total energy is -42.1 eV per cell.

---

No. 2
ZrRhW2 | PBE | relaxed

```
ZrRhW2
1.0
-1.476 -2.385 0.216
2.441 -0.593 -1.268
3.758 -1.602 7.981
Rh W Zr
1 2 1
direct
0.500 0.500 0.763
0.000 0.000 0.994
0.500 0.500 0.236
0.000 0.000 0.507
```

Properties
For the density, the calculation gives 13831 kg/m3. The formation energy is -0.023 eV per atom. The energy above the most stable polymorph in this dataset is 0.095 eV/atom. Its total energy is -41.9 eV per cell.

---

No. 3
ZrRhW2 | PBE | relaxed

```
ZrRhW2
1.0
5.374 -0.008 0.000
2.607 4.700 0.000
-3.990 -2.346 2.730
Rh W Zr
1 2 1
direct
0.750 0.250 0.500
0.000 0.000 0.000
0.500 0.500 0.000
0.250 0.750 0.500
```

Properties
For the density, the calculation gives 13517 kg/m3. The formation energy is 0.045 eV per atom. The energy above the most stable polymorph in this dataset is 0.163 eV/atom. Its total energy is -41.6 eV per cell.

---

No. 4
ZrRhW | PBE | relaxed

```
ZrRhW
1.0
5.401 0.012 -0.008
3.374 4.217 0.008
-4.227 -2.446 2.305
Rh W Zr
1 1 1
direct
0.009 0.009 0.000
0.656 0.656 0.000
0.335 0.335 0.000
```

Properties
For the density, the calculation gives 11974 kg/m3. The formation energy is -0.068 eV per atom. The energy above the most stable polymorph in this dataset is 0.290 eV/atom. Its total energy is -29.1 eV per cell.